P.
Density functional theory data (PBE with a Hubbard U) for an optimized crystal structure of FeOs2AuO.

a = 3.9275 Å, b = 5.1068 Å, c = 3.9275 Å
α = 90.00°, β = 90.00°, γ = 90.00°
Sites, in units of the cell vectors:
Os (0.0000, 0.0000, 0.5000)
Os (0.5000, 0.0000, 0.0000)
Au (0.0000, 0.5000, 0.0000)
Fe (0.5000, 0.5000, 0.5000)
O (0.0000, 0.0000, 0.0000)

Results
spin magnetization	2.93	μB/f.u.
calculated volume	15.755	A^3/atom
density	13.7	g cm⁻³

=====

Q.
Density functional theory data (PBE with a Hubbard U) for an optimized crystal structure of FeOs2AuO.

a = 4.5506 Å, b = 4.7880 Å, c = 4.5506 Å
α = 90.00°, β = 90.00°, γ = 90.00°
Sites, in units of the cell vectors:
Os (0.0000, 0.0000, 0.5000)
Os (0.5000, 0.0000, 0.0000)
Au (0.0000, 0.5000, 0.0000)
Fe (0.0000, 0.0000, 0.0000)
O (0.5000, 0.5000, 0.5000)

Results
spin magnetization	8.02	μB/f.u.
calculated volume	19.830	A^3/atom
density	10.9	g cm⁻³

=====

It is P that is the most stable of them.

=====

P.
Density functional theory data (PBE with a Hubbard U) for an optimized crystal structure of FePAuO2.

a = 3.6500 Å, b = 3.6500 Å, c = 5.5990 Å
α = 90.00°, β = 90.00°, γ = 90.00°
Sites, in units of the cell vectors:
P (0.0000, 0.0000, 0.5000)
Au (0.5000, 0.5000, 0.5000)
Fe (0.0000, 0.0000, 0.0000)
O (0.0000, 0.5000, 0.0000)
O (0.5000, 0.0000, 0.0000)

Results
spin magnetization	3.80	μB/f.u.
calculated volume	14.919	A^3/atom
density	7.0	g cm⁻³

=====

Q.
Density functional theory data (PBE with a Hubbard U) for an optimized crystal structure of FePAuO2.

a = 4.0150 Å, b = 4.0150 Å, c = 4.9607 Å
α = 90.00°, β = 90.00°, γ = 90.00°
Sites, in units of the cell vectors:
P (0.0000, 0.0000, 0.5000)
Au (0.0000, 0.0000, 0.0000)
Fe (0.5000, 0.5000, 0.5000)
O (0.0000, 0.5000, 0.0000)
O (0.5000, 0.0000, 0.0000)

Results
spin magnetization	4.47	μB/f.u.
calculated volume	15.993	A^3/atom
density	6.6	g cm⁻³

=====

It is P that is the most stable of them.